Density functional theory data (PBE) for OsSN3 after structural relaxation.

Output
Size of the total moment, μB/f.u.: 0.0
Electronic total energy, eV for the cell shown: -29.6
Space group: Pm-3m, No. 221
Raw formation energy, eV/atom: 2.15
Crystal system: cubic

```
OsSN3
1.0
3.5163 0.0000 0.0000
0.0000 3.5163 0.0000
0.0000 0.0000 3.5163
S Os N
1 1 3
direct
0.0000 0.0000 0.0000 S
0.5000 0.5000 0.5000 Os
0.0000 0.5000 0.0000 N
0.0000 0.0000 0.5000 N
0.5000 0.0000 0.0000 N
```


Density functional theory data (PBE) for K2ScRh after structural relaxation.

Output
Size of the total moment, μB/f.u.: 0.0
Electronic total energy, eV for the cell shown: -11.8
Space group: Fm-3m, No. 225
E above lowest polymorph, meV per atom: 1046.9
Formation energy, eV per atom: 1.009
Crystal system: cubic

```
K2ScRh
1.0
0.0000 3.8549 3.8549
3.8549 0.0000 3.8549
3.8549 3.8549 0.0000
Sc K Rh
1 2 1
direct
0.0000 0.0000 0.0000 Sc
0.2500 0.2500 0.2500 K
0.7500 0.7500 0.7500 K
0.5000 0.5000 0.5000 Rh
```


Density functional theory data (PBE) for YTi2Si2 after structural relaxation.

Output
Size of the total moment, μB/f.u.: 0.0
Electronic total energy, eV for the cell shown: -70.4
Space group: P4/mbm, No. 127
E above lowest polymorph, meV per atom: 279.4
Raw formation energy, eV/atom: -0.42
Crystal system: tetragonal

```
YTi2Si2
1.0
-3.6748 -6.8089 -1.0291
-0.6545 -0.8158 7.7350
-2.4887 1.3534 -0.0678
Y Si Ti
2 4 4
direct
0.0000 0.0000 0.0000 Y
0.5000 0.5000 0.0000 Y
0.1752 0.6752 0.5000 Si
0.6752 0.8248 0.5000 Si
0.8248 0.3248 0.5000 Si
0.3248 0.1752 0.5000 Si
0.3817 0.8817 0.0000 Ti
0.8817 0.6183 0.0000 Ti
0.6183 0.1183 0.0000 Ti
0.1183 0.3817 0.0000 Ti
```


Density functional theory data (PBE) for CuOsIN2 after structural relaxation.

Output
Size of the total moment, μB/f.u.: 0.3
Electronic total energy, eV for the cell shown: -29.6
Space group: P4/mmm, No. 123
E above lowest polymorph, meV per atom: 0.0
Raw formation energy, eV/atom: 0.79
Crystal system: tetragonal

```
CuOsIN2
1.0
-1.1095 0.4977 3.6061
1.5110 -3.3668 0.9295
5.2014 2.6743 1.2312
I Os Cu N
1 1 1 2
direct
0.0000 0.0000 0.5000 I
0.0000 0.0000 0.0000 Os
0.5000 0.5000 0.5000 Cu
0.0000 0.5000 0.0000 N
0.5000 0.0000 0.0000 N
```


- electronic total energy of number 2 (K2ScRh)?
  -11.8 eV for the cell shown